Entry 1:
Below is a relaxed CaAc2In12Ir3 crystal, with properties calculated at the PBE level.

The value obtained for the final energy is -69.57 eV for the cell shown. For the energy of formation from the pure elements, the calculation gives 0.00 eV/atom. The magnetic moment comes out at 0.0 μB/cell.

abc: 8.8480 8.8480 8.8480
angles: 65.83 65.83 65.83
Sites, in units of the cell vectors:
Ca 0.0000 0.0000 0.0000
Ac 0.4138 0.4138 0.4138
Ac 0.5862 0.5862 0.5862
In 0.1331 0.7257 0.7257
In 0.1640 0.1640 0.5448
In 0.1640 0.5448 0.1640
In 0.2743 0.2743 0.8669
In 0.2743 0.8669 0.2743
In 0.4552 0.8360 0.8360
In 0.5448 0.1640 0.1640
In 0.7257 0.1331 0.7257
In 0.7257 0.7257 0.1331
In 0.8360 0.4552 0.8360
In 0.8360 0.8360 0.4552
In 0.8669 0.2743 0.2743
Ir 0.0000 0.0000 0.5000
Ir 0.0000 0.5000 0.0000
Ir 0.5000 0.0000 0.0000

---

Entry 2:
Below is a relaxed SnBr crystal, with properties calculated at the PBE level.

The value obtained for the final energy is -12.91 eV for the cell shown. As for the uncorrected formation energy: -37.50 kJ per mole of atoms. The magnetic moment comes out at 0.0 μB/cell.

abc: 6.1464 6.1464 6.1464
angles: 130.74 77.57 124.24
Sites, in units of the cell vectors:
Sn 0.0000 0.0000 0.0000
Sn 0.7174 0.2174 0.5000
Br 0.1498 0.3460 0.8038
Br 0.5422 0.3460 0.1962

---

Entry 3:
Below is a relaxed CaCoC crystal, with properties calculated at the PBE level.

The value obtained for the final energy is -36.08 eV for the cell shown. For the energy of formation from the pure elements, the calculation gives 0.10 eV/atom. The magnetic moment comes out at 0.5 μB/cell.

abc: 5.3596 5.3596 3.8135
angles: 107.21 107.21 100.32
Sites, in units of the cell vectors:
Ca 0.0000 0.5000 0.0000
Ca 0.5000 0.0000 0.0000
Co 0.1065 0.1065 0.3357
Co 0.8935 0.8935 0.6643
C 0.4006 0.4006 0.4874
C 0.5994 0.5994 0.5126

---

Entry 4:
Below is a relaxed PrNdN2 crystal, with properties calculated at the PBE level.

The value obtained for the final energy is -30.69 eV for the cell shown. As for the uncorrected formation energy: -108.39 kJ per mole of atoms. The magnetic moment comes out at 0.0 μB/cell.

abc: 6.5925 6.5925 6.5925
angles: 31.68 31.68 31.68
Sites, in units of the cell vectors:
Pr 0.0000 0.0000 0.0000
Nd 0.8298 0.8298 0.8298
N 0.4054 0.4054 0.4054
N 0.5723 0.5723 0.5723

---

Entry 5:
Below is a relaxed Zn3CF crystal, with properties calculated at the PBE level.

The value obtained for the final energy is -14.97 eV for the cell shown. As for the uncorrected formation energy: -1.12 kJ per mole of atoms. The magnetic moment comes out at 0.0 μB/cell.

abc: 4.0918 4.0918 4.0918
angles: 90.00 90.00 90.00
Sites, in units of the cell vectors:
Zn 0.0000 0.0000 0.5000
Zn 0.0000 0.5000 0.0000
Zn 0.5000 0.0000 0.0000
C 0.0000 0.0000 0.0000
F 0.5000 0.5000 0.5000

---

Entry 6:
Below is a relaxed TlSn2Hg crystal, with properties calculated at the PBE level.

The value obtained for the final energy is -10.43 eV for the cell shown. For the energy of formation from the pure elements, the calculation gives 0.06 eV/atom. The magnetic moment comes out at 0.0 μB/cell.

abc: 4.6674 4.6674 5.1069
angles: 90.00 90.00 90.00
Sites, in units of the cell vectors:
Tl 0.0000 0.0000 0.0000
Sn 0.0000 0.5000 0.5000
Sn 0.5000 0.0000 0.5000
Hg 0.5000 0.5000 0.0000

---

> Which of these has the lowest final energy?

CaAc2In12Ir3

---

> Look up the final energy of the fourth one.

-30.69 eV for the cell shown